[1]
Material: Ag3PdCl6
Method: DFT, GGA-PBE
State: optimized geometry

The space group is P2_1/c (No. 14) and the conventional cell measures 6.977, 6.619 and 12.054 Å, with angles of 90.00, 124.68 and 90.00 degrees. The asymmetric unit holds Ag at (0.000, 0.000, 0.000), Ag at (0.245, 0.029, 0.732), Pd at (0.500, 0.000, 0.500), Cl at (0.123, 0.182, 0.448), Cl at (0.275, 0.699, 0.422) and Cl at (0.381, 0.088, 0.276).

Its volume is 22.89 Å³/atom. The formation energy (no corrections) comes out at -0.403 eV/atom.

***

[2]
Material: Ag2PdCl4
Method: DFT, GGA-PBE
State: optimized geometry

The space group is C2/m (No. 12) and the conventional cell measures 13.132, 4.059 and 6.680 Å, with angles of 90.00, 118.65 and 90.00 degrees. The asymmetric unit holds Ag at (0.215, 0.000, 0.213), Pd at (0.000, 0.500, 0.500), Cl at (0.110, 0.500, 0.305) and Cl at (0.128, 0.000, 0.762).

As for the distance to the lowest polymorph of the same formula: 95 meV per atom. Its volume is 22.32 Å³/atom. The formation energy (no corrections) comes out at -0.353 eV/atom.

***

[3]
Material: AgPd3Cl8
Method: DFT, GGA-PBE
State: optimized geometry

The space group is C2/m (No. 12) and the conventional cell measures 16.608, 6.822 and 6.956 Å, with angles of 90.00, 104.10 and 90.00 degrees. The asymmetric unit holds Ag at (0.000, 0.000, 0.000), Pd at (0.000, 0.500, 0.000), Pd at (0.250, 0.250, 0.000), Cl at (0.012, 0.266, 0.768), Cl at (0.209, 0.000, 0.187) and Cl at (0.247, 0.000, 0.769).

Its volume is 31.85 Å³/atom. The formation energy (no corrections) comes out at -0.415 eV/atom.

***

[4]
Material: Ag4PdCl8
Method: DFT, GGA-PBE
State: optimized geometry

The space group is R-3m (No. 166, hexagonal axes) and the conventional cell measures 7.5002, 7.5002 and 18.5893 Å, with angles of 90.00, 90.00 and 120.00 degrees. The asymmetric unit holds Ag at (0.0000, 0.0000, 0.0000), Ag at (0.0000, 0.5000, 0.0000), Pd at (0.0000, 0.0000, 0.5000), Cl at (0.0000, 0.0000, 0.2612) and Cl at (0.0094, 0.5047, 0.2399).

Its volume is 23.22 Å³/atom. The formation energy (no corrections) comes out at -0.332 eV/atom.